(1)
# Ac4GaGeI2

A relaxed Ac4GaGeI2 crystal (PBE, Alexandria). Values from VASP.

Results
- E_form (uncorrected) (kJ/mol of atoms) = -85.4

Quantum ESPRESSO input file:
```
&SYSTEM
  ibrav = 0, nat = 8, ntyp = 4
/
ATOMIC_SPECIES
Ac 227.00 Ac.upf
Ga 69.72 Ga.upf
Ge 72.64 Ge.upf
I 126.90 I.upf
CELL_PARAMETERS angstrom
8.1299 0.0000 0.0000
0.0000 4.6886 0.0000
-2.7139 0.0000 7.9788
ATOMIC_POSITIONS crystal
Ac 0.2345 0.0000 0.2057
Ac 0.2650 0.5000 0.7952
Ac 0.7350 0.5000 0.2048
Ac 0.7655 0.0000 0.7943
Ga 0.0000 0.5000 0.0000
Ge 0.5000 0.0000 0.0000
I 0.0000 0.0000 0.5000
I 0.5000 0.5000 0.5000
```


(2)
# Ac8GaGe3I4

A relaxed Ac8GaGe3I4 crystal (PBE, Alexandria). Values from VASP.

Results
- E_form (uncorrected) (kJ/mol of atoms) = -91.6

Quantum ESPRESSO input file:
```
&SYSTEM
  ibrav = 0, nat = 16, ntyp = 4
/
ATOMIC_SPECIES
Ac 227.00 Ac.upf
Ga 69.72 Ga.upf
Ge 72.64 Ge.upf
I 126.90 I.upf
CELL_PARAMETERS angstrom
4.6650 2.6934 8.0324
-4.6650 2.6934 8.0324
0.0000 -5.3867 8.0324
ATOMIC_POSITIONS crystal
Ac 0.2343 0.2343 0.2343
Ac 0.2355 0.7342 0.7342
Ac 0.2658 0.2658 0.7645
Ac 0.2658 0.7645 0.2658
Ac 0.7342 0.2355 0.7342
Ac 0.7342 0.7342 0.2355
Ac 0.7645 0.2658 0.2658
Ac 0.7657 0.7657 0.7657
Ga 0.5000 0.5000 0.5000
Ge 0.0000 0.0000 0.5000
Ge 0.0000 0.5000 0.0000
Ge 0.5000 0.0000 0.0000
I 0.0000 0.0000 0.0000
I 0.0000 0.5000 0.5000
I 0.5000 0.0000 0.5000
I 0.5000 0.5000 0.0000
```


The lowest E_form (uncorrected) belongs to which entry?
Ac8GaGe3I4